[1]
A relaxed structure of UCrAgO6. Source: Alexandria, functional PBE+U. Values from VASP.

Values from the calculation:
The value obtained for the total energy is -7.545 eV per atom. Its crystal system is trigonal. For the total magnetic moment, the calculation gives 1.01 μB/f.u. As for the volume: 236.3 Å³/cell.

Quantum ESPRESSO input file:
```
&SYSTEM
  ibrav = 0, nat = 18, ntyp = 4
/
ATOMIC_SPECIES
O 16.00 O.upf
Ag 107.87 Ag.upf
U 238.03 U.upf
Cr 52.00 Cr.upf
ATOMIC_POSITIONS crystal
O 0.646 0.016 0.861
O 0.646 0.630 0.639
O 0.630 0.646 0.139
O 0.354 0.984 0.139
O 0.630 0.984 0.361
O 0.984 0.354 0.639
O 0.016 0.646 0.361
Ag 0.000 0.000 0.500
U 0.333 0.667 0.750
O 0.984 0.630 0.861
Cr 0.667 0.333 0.750
O 0.016 0.370 0.139
O 0.354 0.370 0.361
Ag 0.000 0.000 0.000
U 0.667 0.333 0.250
Cr 0.333 0.667 0.250
O 0.370 0.354 0.861
O 0.370 0.016 0.639
CELL_PARAMETERS angstrom
-2.866 3.944 2.247
-1.751 -5.069 0.249
4.694 -1.222 8.132
```



[2]
A relaxed structure of V2CrAgO8. Source: Alexandria, functional PBE+U. Values from VASP.

Values from the calculation:
The value obtained for the total energy is -6.619 eV per atom. Its crystal system is tetragonal. For the total magnetic moment, the calculation gives 1.16 μB/f.u. As for the volume: 144.1 Å³/cell.

Quantum ESPRESSO input file:
```
&SYSTEM
  ibrav = 0, nat = 12, ntyp = 4
/
ATOMIC_SPECIES
V 50.94 V.upf
O 16.00 O.upf
Cr 52.00 Cr.upf
Ag 107.87 Ag.upf
ATOMIC_POSITIONS crystal
V 0.750 0.250 0.500
O 0.446 0.659 0.787
V 0.500 0.500 0.000
O 0.373 0.062 0.312
O 0.341 0.554 0.213
O 0.341 0.128 0.787
Cr 0.250 0.750 0.500
O 0.750 0.062 0.688
O 0.938 0.627 0.688
O 0.872 0.659 0.213
Ag 0.000 0.000 0.000
O 0.938 0.250 0.312
CELL_PARAMETERS angstrom
-3.427 -4.566 0.431
3.339 0.676 4.601
-3.305 4.650 -0.483
```



[3]
A relaxed structure of YCr2AgO8. Source: Alexandria, functional PBE+U. Values from VASP.

Values from the calculation:
The value obtained for the total energy is -6.901 eV per atom. Its crystal system is tetragonal. For the total magnetic moment, the calculation gives 0.00 μB/f.u. As for the volume: 167.1 Å³/cell.

Quantum ESPRESSO input file:
```
&SYSTEM
  ibrav = 0, nat = 12, ntyp = 4
/
ATOMIC_SPECIES
O 16.00 O.upf
Ag 107.87 Ag.upf
Cr 52.00 Cr.upf
Y 88.91 Y.upf
ATOMIC_POSITIONS crystal
O 0.899 0.210 0.310
O 0.331 0.509 0.178
Ag 0.250 0.750 0.500
Cr 0.750 0.250 0.500
O 0.790 0.101 0.690
Y 0.000 0.000 0.000
O 0.899 0.589 0.690
O 0.846 0.669 0.178
O 0.491 0.669 0.822
O 0.411 0.101 0.310
Cr 0.500 0.500 0.000
O 0.331 0.154 0.822
CELL_PARAMETERS angstrom
-1.276 -4.999 -3.125
5.848 1.271 0.756
-2.255 -0.859 5.528
```